Below is Ba2ScOs after structural relaxation, with properties calculated at the PBE-GGA level.

Properties
- Formation energy: 0.262 eV/atom
- Calculated density: 6.0 g/cm³
- Total magnetization: 0.00 Bohr magnetons per cell
- Energy above the most stable polymorph in this dataset: 49 meV/atom

abc: 19.099 3.480 4.385
angles: 90.00 103.21 90.00
Space group C2/m (No. 12)
Inequivalent atoms, fractional coordinates:
Ba: 0.146 0.000 0.144 x4
Sc: 0.000 0.000 0.500 x2
Os: 0.000 0.500 0.000 x2